# 1
The following is a PBE calculation of crystalline PaV2In at its relaxed geometry, from Alexandria.

* symmetry: Fm-3m, No. 225
* volume: 72 Å³/f.u.
* energy of formation from the pure elements: 0.16 eV per atom
* ΔE to the lowest computed polymorph: 0.016 eV/atom

Cell lengths 4.669, 4.669, 4.669 Å; angles 60.00, 60.00, 60.00 degrees
Atoms (fractional coordinates):
Pa  0.000  0.000  0.000
V  0.250  0.250  0.250
V  0.750  0.750  0.750
In  0.500  0.500  0.500

=====

# 2
The following is a PBE calculation of crystalline Ga3NiIr at its relaxed geometry, from Alexandria.

* symmetry: Pm-3m, No. 221
* volume: 86 Å³/f.u.
* energy of formation from the pure elements: 0.39 eV per atom
* ΔE to the lowest computed polymorph: 0.747 eV/atom

Cell lengths 4.413, 4.413, 4.413 Å; angles 90.00, 90.00, 90.00 degrees
Atoms (fractional coordinates):
Ga  0.000  0.000  0.500
Ga  0.000  0.500  0.000
Ga  0.500  0.000  0.000
Ni  0.000  0.000  0.000
Ir  0.500  0.500  0.500

=====

# 3
The following is a PBE calculation of crystalline SiRh2N at its relaxed geometry, from Alexandria.

* symmetry: Fm-3m, No. 225
* uncorrected formation energy: 0.483 eV per atom
* volume: 48 Å³/f.u.
* ΔE to the lowest computed polymorph: 0.425 eV/atom

Cell lengths 4.075, 4.075, 4.075 Å; angles 60.00, 60.00, 60.00 degrees
Atoms (fractional coordinates):
Si  0.000  0.000  0.000
Rh  0.250  0.250  0.250
Rh  0.750  0.750  0.750
N  0.500  0.500  0.500

=====

# 4
The following is a PBE calculation of crystalline Sr4AlCu5 at its relaxed geometry, from Alexandria.

* symmetry: I4mm, No. 107
* volume: 255 Å³/f.u.
* energy of formation from the pure elements: -0.01 eV per atom

Cell lengths 7.546, 7.546, 7.546 Å; angles 96.41, 96.41, 140.97 degrees
Atoms (fractional coordinates):
Sr  0.000  0.282  0.282
Sr  0.000  0.718  0.718
Sr  0.282  0.000  0.282
Sr  0.718  0.000  0.718
Al  0.685  0.685  0.000
Cu  0.209  0.209  0.000
Cu  0.327  0.327  0.668
Cu  0.327  0.659  0.000
Cu  0.659  0.327  0.000
Cu  0.659  0.659  0.332

=====

Which DOS(E_F) belongs to each record? In order, 1.321, 0.898, 0.982, 0.548 states/eV per atom.